DFT (PBEsol) results for a geometry-optimized KMoN2 structure.

abc: 5.7105 5.9411 5.7105
angles: 61.28 90.00 118.72
Fractional positions:
N 0.9716 0.7500 0.8750
N 0.3750 0.2500 0.9716
N 0.8750 0.2500 0.7784
N 0.7784 0.7500 0.3750
K 0.2500 0.5000 0.2500
K 0.5000 0.0000 0.5000
Mo 0.0000 0.0000 0.0000
Mo 0.7500 0.5000 0.7500

Output
**Spin magnetization**: 0.0 μB per formula unit
**DOS(E_F)**: 3.65 states/eV per cell
**ΔE_f (raw)**: -503 meV per atom
**Final energy**: -7.99 eV per atom